Record 1
AlAgSb4 | GGA-PBE | relaxed

Values from the calculation:
ΔE_f (raw) = 2.72 eV/f.u.
electronic total energy = -20.4 eV for the cell shown

abc: 6.2164 6.2164 6.2164
angles: 60.00 60.00 60.00
Element x y z (fractional)
Al (0.0000, 0.0000, 0.0000)
Ag (0.2500, 0.2500, 0.2500)
Sb (0.1243, 0.6252, 0.6252)
Sb (0.6252, 0.1243, 0.6252)
Sb (0.6252, 0.6252, 0.1243)
Sb (0.6252, 0.6252, 0.6252)

=====

Record 2
Dy2Ho3Er6Tl | GGA-PBE | relaxed

Values from the calculation:
electronic total energy = -52.8 eV for the cell shown

abc: 6.0438 6.0438 11.5732
angles: 95.04 95.04 120.05
Element x y z (fractional)
Dy (0.1660, 0.8340, 0.0000)
Dy (0.8340, 0.1660, 0.0000)
Ho (0.0000, 0.0000, 0.5000)
Ho (0.3334, 0.6666, 0.5000)
Ho (0.6666, 0.3334, 0.5000)
Er (0.0884, 0.4182, 0.7519)
Er (0.2520, 0.2520, 0.2496)
Er (0.4182, 0.0884, 0.7519)
Er (0.5818, 0.9116, 0.2481)
Er (0.7480, 0.7480, 0.7504)
Er (0.9116, 0.5818, 0.2481)
Tl (0.5000, 0.5000, 0.0000)

=====

Record 3
Mg4As6Rh7 | GGA-PBE | relaxed

Values from the calculation:
electronic total energy = -96.8 eV for the cell shown

abc: 7.0626 7.0626 7.0626
angles: 109.47 109.47 109.47
Element x y z (fractional)
Mg (0.0000, 0.0000, 0.5000)
Mg (0.0000, 0.5000, 0.0000)
Mg (0.5000, 0.0000, 0.0000)
Mg (0.5000, 0.5000, 0.5000)
As (0.0000, 0.3137, 0.3137)
As (0.0000, 0.6863, 0.6863)
As (0.3137, 0.0000, 0.3137)
As (0.3137, 0.3137, 0.0000)
As (0.6863, 0.0000, 0.6863)
As (0.6863, 0.6863, 0.0000)
Rh (0.0000, 0.0000, 0.0000)
Rh (0.2500, 0.5000, 0.7500)
Rh (0.2500, 0.7500, 0.5000)
Rh (0.5000, 0.2500, 0.7500)
Rh (0.5000, 0.7500, 0.2500)
Rh (0.7500, 0.2500, 0.5000)
Rh (0.7500, 0.5000, 0.2500)

=====

Record 4
Tm2ZnGa3Cu4 | GGA-PBE | relaxed

Values from the calculation:
electronic total energy = -39.4 eV for the cell shown

abc: 4.0615 4.0615 10.2278
angles: 90.00 90.00 90.00
Element x y z (fractional)
Tm (0.0000, 0.5000, 0.2471)
Tm (0.5000, 0.0000, 0.7529)
Zn (0.0000, 0.0000, 0.5000)
Ga (0.0000, 0.5000, 0.8680)
Ga (0.5000, 0.0000, 0.1320)
Ga (0.5000, 0.5000, 0.5000)
Cu (0.0000, 0.0000, 0.0000)
Cu (0.0000, 0.5000, 0.6371)
Cu (0.5000, 0.0000, 0.3629)
Cu (0.5000, 0.5000, 0.0000)